No. 1
Below is a geometry-optimized Ir4Ru structure, with properties calculated at the PBE level.

Cell: 3.6100 3.6100 12.4838 Å, 90.00 90.00 90.00°
Sites, in units of the cell vectors:
Ir1 0.0000 0.0000 0.0977
Ir2 0.0000 0.0000 0.9023
Ir3 0.0000 0.5000 0.2500
Ir4 0.0000 0.5000 0.7500
Ir5 0.5000 0.0000 0.2500
Ir6 0.5000 0.0000 0.7500
Ir7 0.5000 0.5000 0.4023
Ir8 0.5000 0.5000 0.5977
Ru1 0.0000 0.0000 0.5000
Ru2 0.5000 0.5000 0.0000

The value obtained for the total energy is -8.338 eV per atom. The volume is 162.7 Å³ per cell. The symmetry is No. 139. For the offset from the most stable computed form, the calculation gives 633.9 meV/atom.

***

No. 2
Below is a geometry-optimized Pm2Zn3PdAu12 structure, with properties calculated at the PBE level.

Cell: 10.6057 10.6057 10.6057 Å, 37.22 37.22 37.22°
Sites, in units of the cell vectors:
Pm1 0.1396 0.1396 0.1396
Pm2 0.8604 0.8604 0.8604
Zn1 0.0000 0.5000 0.5000
Zn2 0.5000 0.0000 0.5000
Zn3 0.5000 0.5000 0.0000
Pd1 0.5000 0.5000 0.5000
Au1 0.0818 0.6263 0.6263
Au2 0.0910 0.0910 0.6784
Au3 0.0910 0.6784 0.0910
Au4 0.3216 0.9090 0.9090
Au5 0.3737 0.3737 0.9182
Au6 0.3737 0.9182 0.3737
Au7 0.6263 0.0818 0.6263
Au8 0.6263 0.6263 0.0818
Au9 0.6784 0.0910 0.0910
Au10 0.9090 0.3216 0.9090
Au11 0.9090 0.9090 0.3216
Au12 0.9182 0.3737 0.3737

The value obtained for the total energy is -3.406 eV per atom. The volume is 391.2 Å³ per cell. The symmetry is No. 166.

***

No. 3
Below is a geometry-optimized MgRe2Ag structure, with properties calculated at the PBE level.

Cell: 5.2974 9.5229 2.6879 Å, 90.00 108.80 90.00°
Sites, in units of the cell vectors:
Mg1 0.0000 0.0000 0.0000
Mg2 0.5000 0.5000 0.0000
Re1 0.2500 0.2500 0.5000
Re2 0.2500 0.7500 0.5000
Re3 0.7500 0.2500 0.5000
Re4 0.7500 0.7500 0.5000
Ag1 0.0000 0.5000 0.0000
Ag2 0.5000 0.0000 0.0000

The value obtained for the total energy is -6.888 eV per atom. The volume is 128.4 Å³ per cell. The symmetry is No. 12.

***

No. 4
Below is a geometry-optimized AcPr3Y6Ho2 structure, with properties calculated at the PBE level.

Cell: 6.2985 6.2985 11.9887 Å, 95.01 95.01 119.99°
Sites, in units of the cell vectors:
Ac1 0.0000 0.0000 0.0000
Pr1 0.1670 0.8330 0.5000
Pr2 0.5000 0.5000 0.5000
Pr3 0.8330 0.1670 0.5000
Y1 0.0840 0.4202 0.2500
Y2 0.2523 0.2523 0.7499
Y3 0.4202 0.0840 0.2500
Y4 0.5798 0.9160 0.7500
Y5 0.7477 0.7477 0.2501
Y6 0.9160 0.5798 0.7500
Ho1 0.3332 0.6667 0.0000
Ho2 0.6667 0.3332 0.0000

The value obtained for the total energy is -5.510 eV per atom. The volume is 405.6 Å³ per cell. The symmetry is No. 12.